[1]
{"formula": "TcAgP2Ir", "functional": "PBE-GGA", "state": "optimized geometry", "lattice_angstrom": [[4.536, 0.000, 0.000], [0.000, 4.536, 0.000], [0.000, 0.000, 5.006]], "species": ["Tc", "Ag", "P", "P", "Ir"], "fractional_positions": [[0.000, 0.000, 0.000], [0.000, 0.000, 0.500], [0.000, 0.500, 0.500], [0.500, 0.000, 0.500], [0.500, 0.500, 0.000]], "formation_energy_ev_per_atom": 2.032}

[2]
{"formula": "SiIrOs2", "functional": "PBE-GGA", "state": "optimized geometry", "lattice_angstrom": [[5.451, 0.000, 0.000], [0.000, 5.451, 0.000], [0.000, 0.000, 11.074]], "species": ["Si", "Si", "Si", "Si", "Ir", "Ir", "Ir", "Ir", "Os", "Os", "Os", "Os", "Os", "Os", "Os", "Os"], "fractional_positions": [[0.000, 0.000, 0.000], [0.000, 0.500, 0.250], [0.500, 0.000, 0.750], [0.500, 0.500, 0.500], [0.000, 0.000, 0.500], [0.000, 0.500, 0.750], [0.500, 0.000, 0.250], [0.500, 0.500, 0.000], [0.244, 0.250, 0.125], [0.250, 0.744, 0.375], [0.250, 0.756, 0.875], [0.256, 0.250, 0.625], [0.744, 0.750, 0.625], [0.750, 0.244, 0.875], [0.750, 0.256, 0.375], [0.756, 0.750, 0.125]], "formation_energy_uncorrected_ev_per_atom": 0.886}

[3]
{"formula": "LiTlCoGe2", "functional": "PBE-GGA", "state": "optimized geometry", "lattice_angstrom": [[4.505, 0.000, 0.000], [0.000, 4.505, 0.000], [0.000, 0.000, 4.950]], "species": ["Li", "Tl", "Co", "Ge", "Ge"], "fractional_positions": [[0.000, 0.000, 0.000], [0.500, 0.500, 0.000], [0.000, 0.000, 0.500], [0.000, 0.500, 0.500], [0.500, 0.000, 0.500]], "formation_energy_ev_per_atom": 0.000}

[4]
{"formula": "SrSiSbO6", "functional": "PBE-GGA", "state": "optimized geometry", "lattice_angstrom": [[5.085, 0.000, 0.000], [-2.542, 4.403, 0.000], [0.000, 0.000, 10.874]], "species": ["Sr", "Sr", "Si", "Si", "Sb", "Sb", "O", "O", "O", "O", "O", "O", "O", "O", "O", "O", "O", "O"], "fractional_positions": [[0.000, 0.000, 0.000], [0.000, 0.000, 0.500], [0.333, 0.667, 0.250], [0.667, 0.333, 0.750], [0.333, 0.667, 0.750], [0.667, 0.333, 0.250], [0.030, 0.392, 0.153], [0.030, 0.638, 0.347], [0.362, 0.392, 0.347], [0.362, 0.970, 0.153], [0.392, 0.030, 0.653], [0.392, 0.362, 0.847], [0.608, 0.638, 0.153], [0.608, 0.970, 0.347], [0.638, 0.030, 0.847], [0.638, 0.608, 0.653], [0.970, 0.362, 0.653], [0.970, 0.608, 0.847]], "formation_energy_uncorrected_ev_per_atom": -2.071}

[5]
{"formula": "Ba2TiRe", "functional": "PBE-GGA", "state": "optimized geometry", "lattice_angstrom": [[7.589, 0.000, 0.000], [0.000, 7.589, 0.000], [0.000, 0.000, 7.589]], "species": ["Ba", "Ba", "Ba", "Ba", "Ba", "Ba", "Ba", "Ba", "Ti", "Ti", "Ti", "Ti", "Re", "Re", "Re", "Re"], "fractional_positions": [[0.250, 0.250, 0.250], [0.250, 0.250, 0.750], [0.250, 0.750, 0.250], [0.250, 0.750, 0.750], [0.750, 0.250, 0.250], [0.750, 0.250, 0.750], [0.750, 0.750, 0.250], [0.750, 0.750, 0.750], [0.000, 0.000, 0.000], [0.000, 0.500, 0.500], [0.500, 0.000, 0.500], [0.500, 0.500, 0.000], [0.000, 0.000, 0.500], [0.000, 0.500, 0.000], [0.500, 0.000, 0.000], [0.500, 0.500, 0.500]], "de_polymorph_mev_per_atom": 568, "formation_energy_ev_per_atom": 1.450}

[6]
{"formula": "ReMoH3", "functional": "PBE-GGA", "state": "optimized geometry", "lattice_angstrom": [[3.453, 0.000, 0.000], [0.000, 3.453, 0.000], [0.000, 0.000, 3.453]], "species": ["Re", "Mo", "H", "H", "H"], "fractional_positions": [[0.000, 0.000, 0.000], [0.500, 0.500, 0.500], [0.000, 0.000, 0.500], [0.000, 0.500, 0.000], [0.500, 0.000, 0.000]], "de_polymorph_mev_per_atom": 0}

[7]
{"formula": "TePbAu", "functional": "PBE-GGA", "state": "optimized geometry", "lattice_angstrom": [[7.067, 0.000, 0.000], [0.000, 7.067, 0.000], [0.000, 0.000, 7.067]], "species": ["Te", "Te", "Te", "Te", "Pb", "Pb", "Pb", "Pb", "Au", "Au", "Au", "Au"], "fractional_positions": [[0.000, 0.000, 0.000], [0.000, 0.500, 0.500], [0.500, 0.000, 0.500], [0.500, 0.500, 0.000], [0.000, 0.000, 0.500], [0.000, 0.500, 0.000], [0.500, 0.000, 0.000], [0.500, 0.500, 0.500], [0.250, 0.250, 0.750], [0.250, 0.750, 0.250], [0.750, 0.250, 0.250], [0.750, 0.750, 0.750]], "formation_energy_uncorrected_ev_per_atom": -0.094}

[8]
{"formula": "ReOs2SF", "functional": "PBE-GGA", "state": "optimized geometry", "lattice_angstrom": [[4.851, 0.000, 0.000], [0.000, 4.851, 0.000], [0.000, 0.000, 4.485]], "species": ["Re", "Os", "Os", "S", "F"], "fractional_positions": [[0.000, 0.000, 0.000], [0.000, 0.500, 0.000], [0.500, 0.000, 0.000], [0.000, 0.000, 0.500], [0.500, 0.500, 0.500]], "formation_energy_uncorrected_ev_per_atom": 1.654}

[9]
{"formula": "CsNi3P", "functional": "PBE-GGA", "state": "optimized geometry", "lattice_angstrom": [[4.511, 0.000, 0.000], [0.000, 4.511, 0.000], [0.000, 0.000, 4.511]], "species": ["Cs", "Ni", "Ni", "Ni", "P"], "fractional_positions": [[0.000, 0.000, 0.000], [0.000, 0.500, 0.500], [0.500, 0.000, 0.500], [0.500, 0.500, 0.000], [0.500, 0.500, 0.500]], "de_polymorph_mev_per_atom": 0, "formation_energy_ev_per_atom": 0.336}

[10]
{"formula": "MgCo2Mo", "functional": "PBE-GGA", "state": "optimized geometry", "lattice_angstrom": [[4.375, 0.000, 0.000], [0.000, 4.375, 0.000], [0.000, 0.000, 2.793]], "species": ["Mg", "Co", "Co", "Mo"], "fractional_positions": [[0.000, 0.000, 0.000], [0.000, 0.500, 0.500], [0.500, 0.000, 0.500], [0.500, 0.500, 0.000]], "formation_energy_ev_per_atom": 0.151}

[11]
{"formula": "PmTm2Sc6", "functional": "PBE-GGA", "state": "optimized geometry", "lattice_angstrom": [[7.789, 0.000, 0.000], [0.000, 7.789, 0.000], [0.000, 0.000, 9.658]], "species": ["Pm", "Pm", "Tm", "Tm", "Tm", "Tm", "Sc", "Sc", "Sc", "Sc", "Sc", "Sc", "Sc", "Sc", "Sc", "Sc", "Sc", "Sc"], "fractional_positions": [[0.000, 0.000, 0.000], [0.500, 0.500, 0.500], [0.000, 0.000, 0.333], [0.000, 0.000, 0.667], [0.500, 0.500, 0.167], [0.500, 0.500, 0.833], [0.238, 0.238, 0.500], [0.240, 0.240, 0.164], [0.240, 0.240, 0.836], [0.260, 0.740, 0.336], [0.260, 0.740, 0.664], [0.262, 0.738, 0.000], [0.738, 0.262, 0.000], [0.740, 0.260, 0.336], [0.740, 0.260, 0.664], [0.760, 0.760, 0.164], [0.760, 0.760, 0.836], [0.762, 0.762, 0.500]], "formation_energy_ev_per_atom": 0.855}

[12]
{"formula": "CoRe2Mo", "functional": "PBE-GGA", "state": "optimized geometry", "lattice_angstrom": [[2.736, 0.000, 0.000], [-1.368, 2.370, 0.000], [0.000, 0.000, 26.570]], "species": ["Co", "Co", "Co", "Re", "Re", "Re", "Re", "Re", "Re", "Mo", "Mo", "Mo"], "fractional_positions": [[0.000, 0.000, 0.000], [0.333, 0.667, 0.667], [0.667, 0.333, 0.333], [0.000, 0.000, 0.253], [0.000, 0.000, 0.503], [0.333, 0.667, 0.170], [0.333, 0.667, 0.920], [0.667, 0.333, 0.587], [0.667, 0.333, 0.837], [0.000, 0.000, 0.747], [0.333, 0.667, 0.414], [0.667, 0.333, 0.080]], "de_polymorph_mev_per_atom": 141, "formation_energy_ev_per_atom": 0.188}

no.,spin magnetization (μB per formula unit)
1,3.59
2,0.00
3,0.00
4,1.06
5,0.48
6,0.00
7,0.00
8,3.92
9,1.96
10,1.74
11,0.00
12,0.85